Entry 1:
Below is crystalline NaCoCl4 at its relaxed geometry, with properties calculated at the PBE level.

POSCAR file:
```
NaCoCl4
1.0
7.3328 -0.5843 2.2466
-4.1606 6.0668 2.2473
-0.3379 -0.5842 7.6621
Co Cl Na
2 8 2
Cartesian
2.1453 0.3932 3.0388 Co
0.6890 4.5050 9.1172 Co
1.9354 4.2219 10.8824 Cl
1.5551 3.5656 7.3516 Cl
4.0990 1.3324 2.8136 Cl
-1.2646 3.5658 9.3425 Cl
0.8989 0.6764 1.2736 Cl
-1.8566 4.2981 5.5113 Cl
4.6909 0.6001 6.6448 Cl
1.2793 1.3326 4.8044 Cl
3.7314 3.1343 5.2862 Na
-0.8971 1.7637 6.8697 Na
```

Computed properties:
Total magnetic moment = 4.00 μB/f.u.
Uncorrected formation energy = -0.915 eV per atom
D(E_F) = 10.92 states/eV/cell
Offset from the most stable computed form = 0.19 eV per formula unit

Entry 2:
Below is crystalline Ac2CePmSb4 at its relaxed geometry, with properties calculated at the PBE level.

POSCAR file:
```
Ac2CePmSb4
1.0
4.6504 0.0000 0.0000
0.0000 8.0596 -0.1639
0.0000 2.8318 7.5331
Sb Ac Ce Pm
4 2 1 1
Cartesian
2.3252 6.6278 1.7993 Sb
2.3252 4.2635 5.5698 Sb
4.6504 2.8481 1.7906 Sb
0.0001 8.0432 5.5785 Sb
0.0000 2.8318 7.5331 Ac
2.3252 1.4159 3.7665 Ac
2.3252 4.0298 -0.0820 Ce
0.0001 5.4456 3.6846 Pm
```

Computed properties:
Total magnetic moment = 0.74 μB/f.u.
Uncorrected formation energy = -1.156 eV per atom
D(E_F) = 6.68 states/eV/cell